(1)
TbGa6Co6 (PBE, optimized geometry); M_tot = 3.0 μB/f.u.; SG = Immm, No. 71; energy relative to the elements = -0.329 eV/atom; electronic total energy = -5.362 eV/atom
1.0
-1.778 -4.186 -2.190
2.196 -0.828 -6.017
3.893 -5.097 0.764
Ga Co Tb
6 6 1
direct
0.000 0.659 0.341
0.656 0.344 0.344
0.315 0.185 0.185
0.000 0.341 0.659
0.685 0.815 0.815
0.344 0.656 0.656
0.500 0.240 0.760
0.500 0.500 0.000
0.000 0.500 0.000
0.000 0.000 0.500
0.500 0.000 0.500
0.500 0.760 0.240
0.000 0.000 0.000

(2)
InTc2AgO8 (PBE, optimized geometry); M_tot = 2.1 μB/f.u.; SG = P-3, No. 147; electronic total energy = -6.615 eV/atom
1.0
-5.679 -1.256 -0.962
4.041 -4.289 -0.190
-0.861 -1.100 6.518
Ag O Tc In
1 8 2 1
direct
0.000 0.000 0.000
0.834 0.162 0.291
0.672 0.834 0.709
0.667 0.333 0.953
0.333 0.667 0.047
0.838 0.672 0.291
0.328 0.166 0.291
0.162 0.328 0.709
0.166 0.838 0.709
0.667 0.333 0.212
0.333 0.667 0.788
0.000 0.000 0.500

(3)
Tm8ThSc5 (PBE, optimized geometry); M_tot = 0.0 μB/f.u.; SG = I-4, No. 82; energy relative to the elements = 0.295 eV/atom; electronic total energy = -5.052 eV/atom
1.0
7.687 0.540 -2.532
-3.886 6.655 -2.532
-0.285 -0.540 8.089
Tm Sc Th
8 5 1
direct
0.605 0.821 0.415
0.003 0.771 0.097
0.406 0.190 0.585
0.095 0.997 0.768
0.673 0.905 0.903
0.229 0.327 0.232
0.810 0.395 0.216
0.179 0.594 0.784
0.866 0.277 0.809
0.500 0.500 0.000
0.468 0.057 0.191
0.723 0.532 0.589
0.943 0.134 0.411
0.250 0.750 0.500

(4)
Y2ZrBPb (PBE, optimized geometry); M_tot = 0.0 μB/f.u.; SG = P4/mmm, No. 123; energy relative to the elements = -0.385 eV/atom; electronic total energy = -6.757 eV/atom
1.0
5.008 0.000 0.000
0.000 5.008 0.000
0.000 0.000 4.758
Zr Pb Y B
1 1 2 1
direct
0.000 0.000 0.500
0.500 0.500 0.500
0.500 0.000 0.000
0.000 0.500 0.000
0.000 0.000 0.000

(5)
BaPrCuTe3 (PBE, optimized geometry); M_tot = 0.0 μB/f.u.; SG = P2_1/m, No. 11; electronic total energy = -4.606 eV/atom
1.0
-0.619 -2.518 3.692
4.811 -7.245 -4.134
7.073 5.198 4.730
Pr Te Cu Ba
2 6 2 2
direct
0.750 0.326 0.837
0.250 0.674 0.163
0.250 0.795 0.484
0.250 0.101 0.863
0.750 0.899 0.137
0.750 0.205 0.516
0.250 0.559 0.827
0.750 0.441 0.173
0.750 0.919 0.411
0.250 0.081 0.589
0.750 0.815 0.756
0.250 0.185 0.244

(6)
FePOsCl2 (PBE, optimized geometry); M_tot = 3.9 μB/f.u.; SG = P4/mmm, No. 123; electronic total energy = -4.915 eV/atom; polymorph energy (0 for the lowest one) = 0 meV per atom
1.0
4.914 0.000 0.000
0.000 4.914 0.000
0.000 0.000 4.498
Fe Cl Os P
1 2 1 1
direct
0.500 0.500 0.500
0.500 0.000 0.000
0.000 0.500 0.000
0.000 0.000 0.000
0.000 0.000 0.500

(7)
Cs3In2S4 (PBE, optimized geometry); M_tot = 0.0 μB/f.u.; SG = C2/c, No. 15; electronic total energy = -3.636 eV/atom
1.0
8.086 0.155 0.111
0.582 9.292 -0.440
0.582 2.577 8.939
S In Cs
8 4 6
direct
0.989 0.319 0.937
0.489 0.937 0.319
0.890 0.733 0.618
0.110 0.267 0.382
0.511 0.063 0.681
0.610 0.382 0.267
0.011 0.681 0.063
0.390 0.618 0.733
0.426 0.177 0.412
0.074 0.588 0.823
0.574 0.823 0.588
0.926 0.412 0.177
0.424 0.261 0.987
0.250 0.607 0.393
0.076 0.013 0.739
0.576 0.739 0.013
0.924 0.987 0.261
0.750 0.393 0.607

(8)
MnNbCoHSe2 (PBE, optimized geometry); M_tot = 0.0 μB/f.u.; SG = P1, No. 1; electronic total energy = -6.287 eV/atom; polymorph energy (0 for the lowest one) = 133 meV per atom
1.0
3.462 -0.007 0.000
-1.511 4.523 0.002
-0.144 -1.494 5.247
H Nb Se Mn Co
1 1 2 1 1
direct
0.617 0.866 0.941
0.797 0.207 0.260
0.132 0.814 0.417
0.919 0.378 0.796
0.511 0.562 0.088
0.138 0.942 0.908